Entry 1:
{"formula": "InIrRh2", "functional": "PBE", "state": "relaxed", "lattice_angstrom": [[2.8614, 0.0000, 0.0000], [0.0000, 2.8614, 0.0000], [0.0000, 0.0000, 7.6670]], "species": ["In", "Ir", "Rh", "Rh"], "frac_coords": [[0.0000, 0.0000, 0.0000], [0.5000, 0.5000, 0.2709], [0.0000, 0.0000, 0.5022], [0.5000, 0.5000, 0.7406]], "magmom_total_mub_per_atom": 0.000, "formation_enthalpy_0k_mev_per_atom": 4, "dos_ef_per_ev_cell": 3.80}

Entry 2:
{"formula": "SrCd2Au3", "functional": "PBE", "state": "relaxed", "lattice_angstrom": [[5.3220, -4.8624, 0.0000], [5.3220, 4.8624, 0.0000], [0.0000, 0.0000, 5.7231]], "species": ["Sr", "Sr", "Cd", "Cd", "Cd", "Cd", "Au", "Au", "Au", "Au", "Au", "Au"], "frac_coords": [[0.2275, 0.7725, 0.7500], [0.7725, 0.2275, 0.2500], [0.2660, 0.2660, 0.0000], [0.2660, 0.2660, 0.5000], [0.7340, 0.7340, 0.0000], [0.7340, 0.7340, 0.5000], [0.0455, 0.5786, 0.2500], [0.4214, 0.9545, 0.2500], [0.4358, 0.5642, 0.2500], [0.5642, 0.4358, 0.7500], [0.5786, 0.0455, 0.7500], [0.9545, 0.4214, 0.7500]], "magmom_total_mub_per_atom": 0.000, "formation_enthalpy_0k_mev_per_atom": -429, "dos_ef_per_ev_cell": 4.53}

Entry 3:
{"formula": "Be3RePt", "functional": "PBE", "state": "relaxed", "lattice_angstrom": [[4.1254, 0.0000, 0.0000], [0.0000, 4.1254, 0.0000], [0.0000, 0.0000, 4.1254]], "species": ["Be", "Be", "Be", "Re", "Pt"], "frac_coords": [[0.0000, 0.0000, 0.5000], [0.0000, 0.5000, 0.0000], [0.5000, 0.0000, 0.0000], [0.5000, 0.5000, 0.5000], [0.0000, 0.0000, 0.0000]], "magmom_total_mub_per_atom": 0.492, "formation_enthalpy_0k_mev_per_atom": 810, "de_polymorph_mev_per_atom": 0, "dos_ef_per_ev_cell": 3.04}

Entry 4:
{"formula": "Sm3GaB2Pt9", "functional": "PBE", "state": "relaxed", "lattice_angstrom": [[5.7832, 0.0000, 0.0000], [-2.8916, 5.0084, 0.0000], [0.0000, 0.0000, 9.2458]], "species": ["Sm", "Sm", "Sm", "Ga", "B", "B", "Pt", "Pt", "Pt", "Pt", "Pt", "Pt", "Pt", "Pt", "Pt"], "frac_coords": [[0.0000, 0.0000, 0.0000], [0.3333, 0.6667, 0.6083], [0.6667, 0.3333, 0.3917], [0.0000, 0.0000, 0.5000], [0.3333, 0.6667, 0.1492], [0.6667, 0.3333, 0.8508], [0.0000, 0.5000, 0.0000], [0.1652, 0.3304, 0.2879], [0.1652, 0.8348, 0.2879], [0.3304, 0.1652, 0.7121], [0.5000, 0.0000, 0.0000], [0.5000, 0.5000, 0.0000], [0.6696, 0.8348, 0.2879], [0.8348, 0.1652, 0.7121], [0.8348, 0.6696, 0.7121]], "magmom_total_mub_per_atom": 0.000, "formation_enthalpy_0k_mev_per_atom": -851, "dos_ef_per_ev_cell": 3.44}